No. 1
Density functional theory data (PBE) for an optimized crystal structure of Sr3Li2Cd.

POSCAR file:
```
Sr3Li2Cd
1.0
4.1340 0.0000 0.0000
0.0000 4.1340 0.0000
0.0000 0.0000 12.6752
Sr Li Cd
3 2 1
direct
0.0000 0.0000 0.0000 Sr
0.0000 0.0000 0.3434 Sr
0.0000 0.0000 0.6566 Sr
0.5000 0.5000 0.1704 Li
0.5000 0.5000 0.8296 Li
0.5000 0.5000 0.5000 Cd
```

Values from the calculation:
Excess energy over the best structure of this formula in the dataset   0.0 meV/atom
DOS at the Fermi energy   5.172 states/eV per cell
Space-group type   P4/mmm, No. 123
Energy of formation from the pure elements   -0.101 eV per atom
DFT total energy   -0.1273 Ry per atom



No. 2
Density functional theory data (PBE) for an optimized crystal structure of ReSiCl.

POSCAR file:
```
ReSiCl
1.0
0.0000 2.9788 2.9788
2.9788 0.0000 2.9788
2.9788 2.9788 0.0000
Re Si Cl
1 1 1
direct
0.0000 0.0000 0.0000 Re
0.2500 0.2500 0.2500 Si
0.5000 0.5000 0.5000 Cl
```

Values from the calculation:
Excess energy over the best structure of this formula in the dataset   939.1 meV/atom
DOS at the Fermi energy   2.878 states/eV per cell
ΔE_f (raw)   3.8 eV per formula unit
Space-group type   F-43m, No. 216
DFT total energy   -0.3911 Ry per atom